Model one:
The following is a PBE calculation of an optimized crystal structure of Cu2BAs, from the Alexandria database.

Structure (CIF):
```
data_Cu2BAs
_symmetry_space_group_name_H-M 'F m -3 m'
_symmetry_Int_Tables_number 225
_symmetry_space_group_name_Hall '-F 4 2 3'
_cell_length_a 5.8798
_cell_length_b 5.8798
_cell_length_c 5.8798
_cell_angle_alpha 90.00
_cell_angle_beta 90.00
_cell_angle_gamma 90.00
loop_
_atom_site_label
_atom_site_type_symbol
_atom_site_fract_x
_atom_site_fract_y
_atom_site_fract_z
_atom_site_occupancy
Cu1 Cu 0.2500 0.2500 0.2500 1
B1 B 0.0000 0.0000 0.0000 1
As1 As 0.0000 0.0000 0.5000 1
```

Model two:
The following is a PBE calculation of an optimized crystal structure of Cu2BAs, from the Alexandria database.

Structure (CIF):
```
data_Cu2BAs
_symmetry_space_group_name_H-M 'I -4 2 d'
_symmetry_Int_Tables_number 122
_symmetry_space_group_name_Hall 'I -4 2bw'
_cell_length_a 3.8148
_cell_length_b 3.8148
_cell_length_c 14.5972
_cell_angle_alpha 90.00
_cell_angle_beta 90.00
_cell_angle_gamma 90.00
loop_
_atom_site_label
_atom_site_type_symbol
_atom_site_fract_x
_atom_site_fract_y
_atom_site_fract_z
_atom_site_occupancy
Cu1 Cu 0.1957 0.2500 0.1250 1
B1 B 0.0000 0.0000 0.0000 1
As1 As 0.0000 0.0000 0.5000 1
```

Stability, highest: model two

Model one:
The following is a PBE calculation of an optimized crystal structure of Cu3BAs, from the Alexandria database.

Structure (CIF):
```
data_Cu3BAs
_symmetry_space_group_name_H-M 'P m -3 m'
_symmetry_Int_Tables_number 221
_symmetry_space_group_name_Hall '-P 4 2 3'
_cell_length_a 4.0261
_cell_length_b 4.0261
_cell_length_c 4.0261
_cell_angle_alpha 90.00
_cell_angle_beta 90.00
_cell_angle_gamma 90.00
loop_
_atom_site_label
_atom_site_type_symbol
_atom_site_fract_x
_atom_site_fract_y
_atom_site_fract_z
_atom_site_occupancy
Cu1 Cu 0.0000 0.0000 0.5000 1
B1 B 0.0000 0.0000 0.0000 1
As1 As 0.5000 0.5000 0.5000 1
```

Model two:
The following is a PBE calculation of an optimized crystal structure of Cu3BAs, from the Alexandria database.

Structure (CIF):
```
data_Cu3BAs
_symmetry_space_group_name_H-M 'P m -3 m'
_symmetry_Int_Tables_number 221
_symmetry_space_group_name_Hall '-P 4 2 3'
_cell_length_a 4.4954
_cell_length_b 4.4954
_cell_length_c 4.4954
_cell_angle_alpha 90.00
_cell_angle_beta 90.00
_cell_angle_gamma 90.00
loop_
_atom_site_label
_atom_site_type_symbol
_atom_site_fract_x
_atom_site_fract_y
_atom_site_fract_z
_atom_site_occupancy
Cu1 Cu 0.0000 0.0000 0.5000 1
B1 B 0.5000 0.5000 0.5000 1
As1 As 0.0000 0.0000 0.0000 1
```

Stability, highest: model one

Model one:
The following is a PBE calculation of an optimized crystal structure of CuBAsSe2, from the Alexandria database.

Structure (CIF):
```
data_CuBAsSe2
_symmetry_space_group_name_H-M 'P 4/m m m'
_symmetry_Int_Tables_number 123
_symmetry_space_group_name_Hall '-P 4 2'
_cell_length_a 4.9097
_cell_length_b 4.9097
_cell_length_c 4.4962
_cell_angle_alpha 90.00
_cell_angle_beta 90.00
_cell_angle_gamma 90.00
loop_
_atom_site_label
_atom_site_type_symbol
_atom_site_fract_x
_atom_site_fract_y
_atom_site_fract_z
_atom_site_occupancy
Cu1 Cu 0.0000 0.0000 0.0000 1
B1 B 0.5000 0.5000 0.5000 1
As1 As 0.0000 0.0000 0.5000 1
Se1 Se 0.0000 0.5000 0.0000 1
```

Model two:
The following is a PBE calculation of an optimized crystal structure of CuBAsSe2, from the Alexandria database.

Structure (CIF):
```
data_CuBAsSe2
_symmetry_space_group_name_H-M 'P 4/m m m'
_symmetry_Int_Tables_number 123
_symmetry_space_group_name_Hall '-P 4 2'
_cell_length_a 4.6576
_cell_length_b 4.6576
_cell_length_c 4.0831
_cell_angle_alpha 90.00
_cell_angle_beta 90.00
_cell_angle_gamma 90.00
loop_
_atom_site_label
_atom_site_type_symbol
_atom_site_fract_x
_atom_site_fract_y
_atom_site_fract_z
_atom_site_occupancy
Cu1 Cu 0.0000 0.0000 0.0000 1
B1 B 0.5000 0.5000 0.5000 1
As1 As 0.5000 0.5000 0.0000 1
Se1 Se 0.0000 0.5000 0.5000 1
```

Stability, highest: model two

Model one:
The following is a PBE calculation of an optimized crystal structure of BAsF3, from the Alexandria database.

Structure (CIF):
```
data_BAsF3
_symmetry_space_group_name_H-M 'P m -3 m'
_symmetry_Int_Tables_number 221
_symmetry_space_group_name_Hall '-P 4 2 3'
_cell_length_a 4.2448
_cell_length_b 4.2448
_cell_length_c 4.2448
_cell_angle_alpha 90.00
_cell_angle_beta 90.00
_cell_angle_gamma 90.00
loop_
_atom_site_label
_atom_site_type_symbol
_atom_site_fract_x
_atom_site_fract_y
_atom_site_fract_z
_atom_site_occupancy
B1 B 0.0000 0.0000 0.0000 1
As1 As 0.5000 0.5000 0.5000 1
F1 F 0.0000 0.5000 0.5000 1
```

Model two:
The following is a PBE calculation of an optimized crystal structure of BAsF3, from the Alexandria database.

Structure (CIF):
```
data_BAsF3
_symmetry_space_group_name_H-M 'P m -3 m'
_symmetry_Int_Tables_number 221
_symmetry_space_group_name_Hall '-P 4 2 3'
_cell_length_a 3.8877
_cell_length_b 3.8877
_cell_length_c 3.8877
_cell_angle_alpha 90.00
_cell_angle_beta 90.00
_cell_angle_gamma 90.00
loop_
_atom_site_label
_atom_site_type_symbol
_atom_site_fract_x
_atom_site_fract_y
_atom_site_fract_z
_atom_site_occupancy
B1 B 0.0000 0.0000 0.0000 1
As1 As 0.5000 0.5000 0.5000 1
F1 F 0.0000 0.0000 0.5000 1
```

Stability, highest: model one

Model one:
The following is a PBE calculation of an optimized crystal structure of B3AsF, from the Alexandria database.

Structure (CIF):
```
data_B3AsF
_symmetry_space_group_name_H-M 'P m -3 m'
_symmetry_Int_Tables_number 221
_symmetry_space_group_name_Hall '-P 4 2 3'
_cell_length_a 4.1645
_cell_length_b 4.1645
_cell_length_c 4.1645
_cell_angle_alpha 90.00
_cell_angle_beta 90.00
_cell_angle_gamma 90.00
loop_
_atom_site_label
_atom_site_type_symbol
_atom_site_fract_x
_atom_site_fract_y
_atom_site_fract_z
_atom_site_occupancy
B1 B 0.0000 0.0000 0.5000 1
As1 As 0.0000 0.0000 0.0000 1
F1 F 0.5000 0.5000 0.5000 1
```

Model two:
The following is a PBE calculation of an optimized crystal structure of B3AsF, from the Alexandria database.

Structure (CIF):
```
data_B3AsF
_symmetry_space_group_name_H-M 'P m -3 m'
_symmetry_Int_Tables_number 221
_symmetry_space_group_name_Hall '-P 4 2 3'
_cell_length_a 3.9162
_cell_length_b 3.9162
_cell_length_c 3.9162
_cell_angle_alpha 90.00
_cell_angle_beta 90.00
_cell_angle_gamma 90.00
loop_
_atom_site_label
_atom_site_type_symbol
_atom_site_fract_x
_atom_site_fract_y
_atom_site_fract_z
_atom_site_occupancy
B1 B 0.0000 0.0000 0.5000 1
As1 As 0.5000 0.5000 0.5000 1
F1 F 0.0000 0.0000 0.0000 1
```

Stability, highest: model one

Model one:
The following is a PBE calculation of an optimized crystal structure of BAs2F2, from the Alexandria database.

Structure (CIF):
```
data_BAs2F2
_symmetry_space_group_name_H-M 'I 4/m m m'
_symmetry_Int_Tables_number 139
_symmetry_space_group_name_Hall '-I 4 2'
_cell_length_a 3.2900
_cell_length_b 3.2900
_cell_length_c 11.9471
_cell_angle_alpha 90.00
_cell_angle_beta 90.00
_cell_angle_gamma 90.00
loop_
_atom_site_label
_atom_site_type_symbol
_atom_site_fract_x
_atom_site_fract_y
_atom_site_fract_z
_atom_site_occupancy
B1 B 0.0000 0.0000 0.0000 1
As1 As 0.0000 0.0000 0.3886 1
F1 F 0.0000 0.5000 0.2500 1
```

Model two:
The following is a PBE calculation of an optimized crystal structure of BAs2F2, from the Alexandria database.

Structure (CIF):
```
data_BAs2F2
_symmetry_space_group_name_H-M 'P 4/m b m'
_symmetry_Int_Tables_number 127
_symmetry_space_group_name_Hall '-P 4 2ab'
_cell_length_a 5.8958
_cell_length_b 5.8958
_cell_length_c 4.2146
_cell_angle_alpha 90.00
_cell_angle_beta 90.00
_cell_angle_gamma 90.00
loop_
_atom_site_label
_atom_site_type_symbol
_atom_site_fract_x
_atom_site_fract_y
_atom_site_fract_z
_atom_site_occupancy
B1 B 0.0000 0.0000 0.0000 1
As1 As 0.1584 0.3416 0.0000 1
F1 F 0.1668 0.3332 0.5000 1
```

Stability, highest: model two